VASP calculation (SCAN) on a crystal of CaRu2Br relaxed with PBEsol.

It has space group Amm2 (No. 38), with a = 3.231 Å, b = 3.165 Å, c = 14.902 Å, α = 90.00°, β = 90.00° and γ = 90.00°. The distinct sites, in fractional coordinates, are Ca at (0.000, 0.000, 0.000), Ru at (0.000, 0.000, 0.214), Ru at (0.500, 0.000, 0.642) and Br at (0.500, 0.000, 0.374).

Its formation energy from raw total energies is -0.050 eV/atom.

***

VASP calculation (SCAN) on a crystal of CaRuBr2 relaxed with PBEsol.

It has space group Immm (No. 71), with a = 3.687 Å, b = 4.689 Å, c = 11.439 Å, α = 90.00°, β = 90.00° and γ = 90.00°. The distinct sites, in fractional coordinates, are Ca at (0.000, 0.000, 0.000), Ru at (0.000, 0.000, 0.500) and Br at (0.000, 0.500, 0.149).

Its formation energy from raw total energies is -0.690 eV/atom.

***

VASP calculation (SCAN) on a crystal of CaRuBr2 relaxed with PBEsol.

It has space group P4/mmm (No. 123), with a = 4.685 Å, b = 4.685 Å, c = 3.436 Å, α = 90.00°, β = 90.00° and γ = 90.00°. The distinct sites, in fractional coordinates, are Ca at (0.000, 0.000, 0.000), Ru at (0.500, 0.500, 0.000) and Br at (0.000, 0.500, 0.500).

Its formation energy from raw total energies is -0.208 eV/atom.

***

VASP calculation (SCAN) on a crystal of CaS3Br relaxed with PBEsol.

It has space group Pm-3m (No. 221), with a = 5.347 Å, b = 5.347 Å, c = 5.347 Å, α = 90.00°, β = 90.00° and γ = 90.00°. The distinct sites, in fractional coordinates, are Ca at (0.000, 0.000, 0.000), S at (0.000, 0.000, 0.500) and Br at (0.500, 0.500, 0.500).

Its formation energy from raw total energies is 0.167 eV/atom.

***

VASP calculation (SCAN) on a crystal of CaS2Br relaxed with PBEsol.

It has space group I-42d (No. 122), with a = 5.276 Å, b = 5.276 Å, c = 15.819 Å, α = 90.00°, β = 90.00° and γ = 90.00°. The distinct sites, in fractional coordinates, are Ca at (0.000, 0.000, 0.000), S at (0.228, 0.250, 0.625) and Br at (0.000, 0.000, 0.500).

Its formation energy from raw total energies is -0.405 eV/atom.

***

VASP calculation (SCAN) on a crystal of CaS2Br2 relaxed with PBEsol.

It has space group I4/mmm (No. 139), with a = 5.869 Å, b = 5.869 Å, c = 7.409 Å, α = 90.00°, β = 90.00° and γ = 90.00°. The distinct sites, in fractional coordinates, are Ca at (0.000, 0.000, 0.000), S at (0.000, 0.000, 0.373) and Br at (0.000, 0.500, 0.250).

Its formation energy from raw total energies is -0.642 eV/atom.

***

VASP calculation (SCAN) on a crystal of CaTcS2Br relaxed with PBEsol.

It has space group P4/mmm (No. 123), with a = 5.150 Å, b = 5.150 Å, c = 4.448 Å, α = 90.00°, β = 90.00° and γ = 90.00°. The distinct sites, in fractional coordinates, are Ca at (0.000, 0.000, 0.000), Tc at (0.500, 0.500, 0.000), S at (0.000, 0.500, 0.500) and Br at (0.500, 0.500, 0.500).

Its formation energy from raw total energies is 0.606 eV/atom.

***

VASP calculation (SCAN) on a crystal of CaZn2SBr relaxed with PBEsol.

It has space group P4/mmm (No. 123), with a = 5.882 Å, b = 5.882 Å, c = 4.994 Å, α = 90.00°, β = 90.00° and γ = 90.00°. The distinct sites, in fractional coordinates, are Ca at (0.000, 0.000, 0.000), Zn at (0.000, 0.500, 0.000), S at (0.000, 0.000, 0.500) and Br at (0.500, 0.500, 0.500).

Its formation energy from raw total energies is 0.137 eV/atom.

***

VASP calculation (SCAN) on a crystal of CaSb3Br relaxed with PBEsol.

It has space group Pm-3m (No. 221), with a = 5.647 Å, b = 5.647 Å, c = 5.647 Å, α = 90.00°, β = 90.00° and γ = 90.00°. The distinct sites, in fractional coordinates, are Ca at (0.000, 0.000, 0.000), Sb at (0.000, 0.000, 0.500) and Br at (0.500, 0.500, 0.500).

Its formation energy from raw total energies is 0.622 eV/atom.

***

VASP calculation (SCAN) on a crystal of CaSbBr2 relaxed with PBEsol.

It has space group P4/mmm (No. 123), with a = 3.407 Å, b = 3.407 Å, c = 11.067 Å, α = 90.00°, β = 90.00° and γ = 90.00°. The distinct sites, in fractional coordinates, are Ca at (0.000, 0.000, 0.000), Sb at (0.000, 0.000, 0.500) and Br at (0.500, 0.500, 0.155).

Its formation energy from raw total energies is -1.138 eV/atom.

***

VASP calculation (SCAN) on a crystal of Ca2SbBr relaxed with PBEsol.

It has space group I-4m2 (No. 119), with a = 4.352 Å, b = 4.352 Å, c = 12.024 Å, α = 90.00°, β = 90.00° and γ = 90.00°. The distinct sites, in fractional coordinates, are Ca at (0.000, 0.000, 0.000), Ca at (0.000, 0.500, 0.250), Sb at (0.000, 0.000, 0.500) and Br at (0.000, 0.500, 0.750).

Its formation energy from raw total energies is -1.127 eV/atom.

***

VASP calculation (SCAN) on a crystal of CaSbBr2 relaxed with PBEsol.

It has space group P4mm (No. 99), with a = 3.856 Å, b = 3.856 Å, c = 7.142 Å, α = 90.00°, β = 90.00° and γ = 90.00°. The distinct sites, in fractional coordinates, are Ca at (0.000, 0.000, 0.000), Sb at (0.500, 0.500, 0.296), Br at (0.000, 0.000, 0.568) and Br at (0.500, 0.500, 0.866).

Its formation energy from raw total energies is -0.901 eV/atom.

***

VASP calculation (SCAN) on a crystal of Ca2SbBr relaxed with PBEsol.

It has space group P4/mmm (No. 123), with a = 4.426 Å, b = 4.426 Å, c = 6.057 Å, α = 90.00°, β = 90.00° and γ = 90.00°. The distinct sites, in fractional coordinates, are Ca at (0.000, 0.000, 0.000), Ca at (0.500, 0.500, 0.500), Sb at (0.000, 0.000, 0.500) and Br at (0.500, 0.500, 0.000).

Its formation energy from raw total energies is -1.506 eV/atom.

***

VASP calculation (SCAN) on a crystal of Ca2SbBr relaxed with PBEsol.

It has space group I-42d (No. 122), with a = 6.496 Å, b = 6.496 Å, c = 15.021 Å, α = 90.00°, β = 90.00° and γ = 90.00°. The distinct sites, in fractional coordinates, are Ca at (0.248, 0.250, 0.125), Sb at (0.000, 0.000, 0.000) and Br at (0.000, 0.000, 0.500).

Its formation energy from raw total energies is -1.247 eV/atom.

***

VASP calculation (SCAN) on a crystal of CaZrSb2Br relaxed with PBEsol.

It has space group P4/mmm (No. 123), with a = 5.461 Å, b = 5.461 Å, c = 5.355 Å, α = 90.00°, β = 90.00° and γ = 90.00°. The distinct sites, in fractional coordinates, are Ca at (0.000, 0.000, 0.000), Zr at (0.000, 0.000, 0.500), Sb at (0.000, 0.500, 0.000) and Br at (0.500, 0.500, 0.500).

Its formation energy from raw total energies is 0.904 eV/atom.

***

VASP calculation (SCAN) on a crystal of CaScBr2 relaxed with PBEsol.

It has space group Amm2 (No. 38), with a = 5.172 Å, b = 3.614 Å, c = 10.328 Å, α = 90.00°, β = 90.00° and γ = 90.00°. The distinct sites, in fractional coordinates, are Ca at (0.000, 0.000, 0.000), Sc at (0.500, 0.000, 0.699), Br at (0.000, 0.000, 0.719) and Br at (0.500, 0.000, 0.418).

Its formation energy from raw total energies is -1.043 eV/atom.

***

VASP calculation (SCAN) on a crystal of CaScBr2 relaxed with PBEsol.

It has space group C2/m (No. 12), with a = 8.674 Å, b = 3.588 Å, c = 6.255 Å, α = 90.00°, β = 104.10° and γ = 90.00°. The distinct sites, in fractional coordinates, are Ca at (0.000, 0.000, 0.000), Sc at (0.000, 0.500, 0.500) and Br at (0.239, 0.000, 0.726).

Its formation energy from raw total energies is -1.048 eV/atom.

***

VASP calculation (SCAN) on a crystal of CaScBr2 relaxed with PBEsol.

It has space group I-42d (No. 122), with a = 6.299 Å, b = 6.299 Å, c = 12.702 Å, α = 90.00°, β = 90.00° and γ = 90.00°. The distinct sites, in fractional coordinates, are Ca at (0.000, 0.000, 0.000), Sc at (0.000, 0.000, 0.500) and Br at (0.225, 0.250, 0.625).

Its formation energy from raw total energies is -0.872 eV/atom.

***

VASP calculation (SCAN) on a crystal of CaScBr3 relaxed with PBEsol.

It has space group Pm-3m (No. 221), with a = 5.495 Å, b = 5.495 Å, c = 5.495 Å, α = 90.00°, β = 90.00° and γ = 90.00°. The distinct sites, in fractional coordinates, are Ca at (0.000, 0.000, 0.000), Sc at (0.500, 0.500, 0.500) and Br at (0.000, 0.000, 0.500).

Its formation energy from raw total energies is -1.160 eV/atom.

***

VASP calculation (SCAN) on a crystal of CaScBr2 relaxed with PBEsol.

It has space group P4mm (No. 99), with a = 3.533 Å, b = 3.533 Å, c = 8.680 Å, α = 90.00°, β = 90.00° and γ = 90.00°. The distinct sites, in fractional coordinates, are Ca at (0.000, 0.000, 0.000), Sc at (0.500, 0.500, 0.314), Br at (0.000, 0.000, 0.467) and Br at (0.500, 0.500, 0.818).

Its formation energy from raw total energies is -1.292 eV/atom.